Record 1
{
  "formula": "CsTl6O8",
  "functional": "PBE",
  "state": "relaxed",
  "lattice": [[6.8620, 0.0000, 3.9618], [2.2873, 6.4696, 3.9618], [0.0000, 0.0000, 7.9236]],
  "species": ["O", "Cs", "Tl", "O", "Tl", "O", "Tl", "Tl", "Tl", "O", "O", "O", "O", "O", "Tl"],
  "fractional_positions": [[0.5459, 0.1514, 0.1514], [0.0000, 0.0000, 0.0000], [0.5000, 0.5000, 0.0000], [0.8486, 0.4541, 0.8486], [0.0000, 0.0000, 0.5000], [0.4541, 0.8486, 0.8486], [0.5000, 0.0000, 0.0000], [0.0000, 0.5000, 0.0000], [0.0000, 0.5000, 0.5000], [0.1514, 0.5459, 0.1514], [0.1514, 0.1514, 0.1514], [0.8486, 0.8486, 0.4541], [0.1514, 0.1514, 0.5459], [0.8486, 0.8486, 0.8486], [0.5000, 0.0000, 0.5000]],
  "e_above_lowest_polymorph_mev_per_atom": 252,
  "raw_formation_energy_ev_per_fu": -6.143,
  "spacegroup": "Fm-3m"
}

=====

Record 2
{
  "formula": "Be2ZnW",
  "functional": "PBE",
  "state": "relaxed",
  "lattice": [[-4.6119, 1.0794, -1.1072], [-2.4441, -3.4718, -2.3736], [2.3411, 1.3398, 4.0479]],
  "species": ["W", "Be", "Zn", "Be"],
  "fractional_positions": [[0.2500, 0.7500, 0.5000], [0.5103, 0.5103, 0.0000], [0.7500, 0.2500, 0.5000], [0.9897, 0.9897, 0.0000]],
  "energy_ry_per_atom": -0.3703,
  "spacegroup": "Immm"
}

=====

Record 3
{
  "formula": "Cs2TbSmSe4",
  "functional": "PBE",
  "state": "relaxed",
  "lattice": [[4.3190, 0.0000, 0.0000], [0.0000, 7.4799, 0.1278], [0.0000, -2.6347, 8.3450]],
  "species": ["Cs", "Se", "Cs", "Tb", "Se", "Se", "Se", "Sm"],
  "fractional_positions": [[0.0000, 0.5000, 0.5000], [0.0000, 0.2747, 0.8134], [0.5000, 0.0000, 0.5000], [0.5000, 0.5000, 0.0000], [0.5000, 0.7671, 0.8119], [0.0000, 0.7253, 0.1866], [0.5000, 0.2329, 0.1881], [0.0000, 0.0000, 0.0000]],
  "raw_formation_energy_ev_per_fu": -13.841,
  "spacegroup": "P2/m"
}

=====

Record 4
{
  "formula": "Na5Hg3I12",
  "functional": "PBE",
  "state": "relaxed",
  "lattice": [[16.7203, 0.0000, 0.0000], [-5.5734, 15.7641, 0.0000], [-5.5734, -7.8820, 13.6521]],
  "species": ["Na", "I", "I", "Na", "Hg", "Hg", "Hg", "Na", "I", "Na", "I", "I", "Na", "I", "Hg", "I", "Na", "Na", "Na", "I", "I", "I", "Na", "Hg", "Na", "I", "Hg", "I", "I", "Na", "Hg", "I", "I", "Na", "I", "Na", "I", "Na", "I", "I", "Hg", "I", "Na", "I", "Na", "Hg", "Na", "I", "I", "I", "I", "I", "I", "I", "I", "I", "I", "Na", "Hg", "I", "I", "I", "I", "I", "I", "I", "Hg", "Hg", "I", "I", "I", "I", "I", "I", "Na", "I", "I", "I", "Na", "I"],
  "fractional_positions": [[0.7500, 0.6250, 0.3750], [0.8867, 0.3600, 0.0605], [0.6400, 0.5267, 0.7005], [0.5000, 0.5000, 0.0000], [0.2500, 0.1250, 0.3750], [0.3750, 0.6250, 0.2500], [0.8750, 0.7500, 0.1250], [0.2500, 0.8750, 0.1250], [0.3867, 0.8262, 0.0267], [0.5000, 0.0000, 0.5000], [0.6738, 0.9733, 0.1133], [0.0267, 0.3262, 0.3867], [0.0000, 0.0000, 0.5000], [0.7995, 0.8600, 0.4733], [0.1250, 0.2500, 0.8750], [0.0605, 0.8600, 0.8867], [0.0000, 0.0000, 0.0000], [0.7500, 0.1250, 0.8750], [0.3750, 0.2500, 0.1250], [0.2995, 0.3262, 0.4395], [0.1400, 0.2005, 0.0267], [0.0605, 0.2005, 0.6738], [0.6250, 0.8750, 0.2500], [0.8750, 0.1250, 0.2500], [0.0000, 0.5000, 0.5000], [0.1738, 0.6133, 0.4733], [0.7500, 0.8750, 0.6250], [0.9395, 0.7995, 0.3262], [0.5267, 0.6400, 0.2005], [0.2500, 0.3750, 0.6250], [0.6250, 0.2500, 0.3750], [0.5267, 0.8867, 0.8262], [0.8262, 0.4395, 0.7995], [0.1250, 0.7500, 0.3750], [0.3600, 0.8867, 0.5605], [0.3750, 0.1250, 0.7500], [0.1738, 0.5605, 0.2005], [0.8750, 0.2500, 0.6250], [0.5605, 0.3867, 0.3600], [0.3600, 0.4733, 0.2995], [0.2500, 0.6250, 0.8750], [0.5605, 0.1738, 0.7005], [0.8750, 0.6250, 0.7500], [0.2005, 0.1400, 0.5267], [0.6250, 0.7500, 0.8750], [0.6250, 0.3750, 0.7500], [0.0000, 0.5000, 0.0000], [0.4733, 0.1133, 0.1738], [0.7005, 0.6738, 0.5605], [0.8867, 0.5267, 0.3262], [0.3867, 0.5605, 0.8600], [0.2995, 0.9733, 0.3600], [0.9395, 0.1400, 0.1133], [0.1133, 0.6400, 0.9395], [0.9733, 0.6738, 0.6133], [0.8600, 0.7995, 0.9733], [0.7005, 0.0267, 0.6400], [0.5000, 0.5000, 0.5000], [0.7500, 0.3750, 0.1250], [0.2005, 0.0605, 0.1738], [0.6133, 0.4395, 0.1400], [0.6400, 0.1133, 0.4395], [0.9733, 0.2995, 0.8600], [0.1133, 0.4733, 0.6738], [0.4733, 0.3600, 0.7995], [0.4395, 0.6133, 0.6400], [0.3750, 0.7500, 0.6250], [0.1250, 0.8750, 0.7500], [0.0267, 0.7005, 0.1400], [0.4395, 0.8262, 0.2995], [0.8262, 0.3867, 0.5267], [0.3262, 0.0267, 0.8867], [0.3262, 0.2995, 0.9395], [0.6738, 0.7005, 0.0605], [0.5000, 0.0000, 0.0000], [0.6133, 0.1738, 0.9733], [0.1400, 0.9395, 0.6133], [0.7995, 0.9395, 0.8262], [0.1250, 0.3750, 0.2500], [0.8600, 0.0605, 0.3867]],
  "raw_formation_energy_ev_per_fu": -12.944,
  "spacegroup": "Ia-3d"
}

=====

Record 5
{
  "formula": "Ca4SiAs",
  "functional": "PBE",
  "state": "relaxed",
  "lattice": [[0.0000, 4.4082, 4.4082], [4.4082, 0.0000, 4.4082], [4.4082, 4.4082, 0.0000]],
  "species": ["Si", "Ca", "As", "Ca", "Ca", "Ca"],
  "fractional_positions": [[0.7500, 0.7500, 0.7500], [0.3750, 0.3750, 0.3750], [0.0000, 0.0000, 0.0000], [0.3750, 0.3750, 0.8751], [0.8751, 0.3750, 0.3750], [0.3750, 0.8751, 0.3750]],
  "e_above_lowest_polymorph_mev_per_atom": 1088,
  "raw_formation_energy_ev_per_fu": 2.281,
  "spacegroup": "F-43m"
}

=====

Record 6
{
  "formula": "Er4Tm3Pd4",
  "functional": "PBE",
  "state": "relaxed",
  "lattice": [[3.7631, 0.0000, 0.0000], [0.0000, 8.9804, 0.0000], [-1.8816, -4.4902, 7.9512]],
  "species": ["Tm", "Pd", "Pd", "Tm", "Er", "Pd", "Tm", "Er", "Pd", "Er", "Er"],
  "fractional_positions": [[0.1041, 0.1041, 0.2082], [0.2520, 0.7520, 0.5039], [0.5000, 0.1831, 0.0000], [0.8959, 0.8959, 0.7918], [0.3369, 0.5231, 0.6737], [0.5000, 0.8169, 0.0000], [0.0000, 0.5000, 0.0000], [0.6631, 0.4769, 0.3263], [0.7480, 0.2480, 0.4961], [0.6631, 0.8493, 0.3263], [0.3369, 0.1507, 0.6737]],
  "energy_ry_per_atom": -0.3959,
  "spacegroup": "Immm"
}

=====

Number 1: M_tot 0.0 μB per formula unit. Number 2: M_tot 0.0 μB per formula unit. Number 3: M_tot 0.0 μB per formula unit. Number 4: M_tot 0.0 μB per formula unit. Number 5: M_tot 0.1 μB per formula unit. Number 6: M_tot 0.0 μB per formula unit.